1.
# PmBPbO4 | the Alexandria database | PBE-GGA | relaxed
data_PmBPbO4
_cell_length_a 5.2661
_cell_length_b 5.2002
_cell_length_c 7.0981
_cell_angle_alpha 90.00
_cell_angle_beta 105.69
_cell_angle_gamma 90.00
_symmetry_space_group_name_H-M 'P 1'
_symmetry_Int_Tables_number 1
_symmetry_space_group_name_Hall 'P 1'
loop_
_atom_site_label
_atom_site_fract_x
_atom_site_fract_y
_atom_site_fract_z
Pm1 0.2317 0.2500 0.0419
Pm2 0.7683 0.7500 0.9581
B1 0.2117 0.7500 0.8005
B2 0.7883 0.2500 0.1995
Pb1 0.2698 0.2500 0.5600
Pb2 0.7302 0.7500 0.4400
O1 0.0348 0.5205 0.7602
O2 0.0348 0.9795 0.7602
O3 0.3458 0.7500 0.0194
O4 0.4048 0.7500 0.6830
O5 0.5952 0.2500 0.3170
O6 0.6542 0.2500 0.9806
O7 0.9652 0.0205 0.2398
O8 0.9652 0.4795 0.2398
# - DOS at the Fermi energy (states/eV/cell) = 0.000
# - formation energy without anion corrections (eV/f.u.) = -16.76
# - DFT total energy (eV for the cell shown) = -103.4

---

2.
# PmB2Pb2O6 | the Alexandria database | PBE-GGA | relaxed
data_PmB2Pb2O6
_cell_length_a 5.0959
_cell_length_b 5.0959
_cell_length_c 8.1589
_cell_angle_alpha 90.00
_cell_angle_beta 90.00
_cell_angle_gamma 120.00
_symmetry_space_group_name_H-M 'P 1'
_symmetry_Int_Tables_number 1
_symmetry_space_group_name_Hall 'P 1'
loop_
_atom_site_label
_atom_site_fract_x
_atom_site_fract_y
_atom_site_fract_z
Pm1 0.0000 0.0000 0.0000
B1 0.3333 0.6667 0.1779
B2 0.6667 0.3333 0.8221
Pb1 0.3333 0.6667 0.6459
Pb2 0.6667 0.3333 0.3541
O1 0.0595 0.3961 0.1767
O2 0.3366 0.9405 0.1767
O3 0.3961 0.3366 0.8233
O4 0.6039 0.6634 0.1767
O5 0.6634 0.0595 0.8233
O6 0.9405 0.6039 0.8233
# - DOS at the Fermi energy (states/eV/cell) = 3.752
# - formation energy without anion corrections (eV/f.u.) = -23.72
# - DFT total energy (eV for the cell shown) = -79.0

---

3.
# PrB2PbO6 | the Alexandria database | PBE-GGA | relaxed
data_PrB2PbO6
_cell_length_a 6.6422
_cell_length_b 6.6422
_cell_length_c 6.7626
_cell_angle_alpha 100.95
_cell_angle_beta 100.95
_cell_angle_gamma 100.87
_symmetry_space_group_name_H-M 'P 1'
_symmetry_Int_Tables_number 1
_symmetry_space_group_name_Hall 'P 1'
loop_
_atom_site_label
_atom_site_fract_x
_atom_site_fract_y
_atom_site_fract_z
Pr1 0.0968 0.9032 0.7500
Pr2 0.9032 0.0968 0.2500
B1 0.0931 0.4038 0.7514
B2 0.4038 0.0931 0.2514
B3 0.5962 0.9069 0.7486
B4 0.9069 0.5962 0.2486
Pb1 0.4058 0.5942 0.2500
Pb2 0.5942 0.4058 0.7500
O1 0.0306 0.2064 0.6206
O2 0.0373 0.4568 0.2416
O3 0.2064 0.0306 0.1206
O4 0.2979 0.4711 0.8787
O5 0.4568 0.0373 0.7416
O6 0.4711 0.2979 0.3787
O7 0.5289 0.7021 0.6213
O8 0.5432 0.9627 0.2584
O9 0.7021 0.5289 0.1213
O10 0.7936 0.9694 0.8794
O11 0.9627 0.5432 0.7584
O12 0.9694 0.7936 0.3794
# - DOS at the Fermi energy (states/eV/cell) = 2.571
# - formation energy without anion corrections (eV/f.u.) = -23.27
# - DFT total energy (eV for the cell shown) = -149.7

---

Q: Number 3 is which compound?
A: PrB2PbO6

---

Q: Which value of DOS at the Fermi energy does entry 2 give?
A: 3.752 states/eV/cell

---

Q: Among the records above, which one has the lowest DFT total energy?
A: PrB2PbO6